(1)
# LaCrCu3 GGA-PBE optimized geometry
data_LaCrCu3
_chemical_formula_sum 'La1 Cr1 Cu3'
_symmetry_space_group_name_H-M 'P m -3 m'
_symmetry_Int_Tables_number 221
_symmetry_space_group_name_Hall '-P 4 2 3'
_cell_length_a 5.144
_cell_length_b 5.144
_cell_length_c 5.144
_cell_angle_alpha 90.00
_cell_angle_beta 90.00
_cell_angle_gamma 90.00
loop_
_atom_site_label
_atom_site_type_symbol
_atom_site_fract_x
_atom_site_fract_y
_atom_site_fract_z
La1 La 0.000 0.000 0.000
Cr1 Cr 0.500 0.500 0.500
Cu1 Cu 0.000 0.000 0.500
# Uncorrected energy in eV per atom: -3.953
# ΔE to the lowest computed polymorph in eV/atom: 0.9917
# Mass density in Mg/m³: 4.7


(2)
# LaCrCu2 GGA-PBE optimized geometry
data_LaCrCu2
_chemical_formula_sum 'La1 Cr1 Cu2'
_symmetry_space_group_name_H-M 'P 4 m m'
_symmetry_Int_Tables_number 99
_symmetry_space_group_name_Hall 'P 4 -2'
_cell_length_a 3.291
_cell_length_b 3.291
_cell_length_c 6.805
_cell_angle_alpha 90.00
_cell_angle_beta 90.00
_cell_angle_gamma 90.00
loop_
_atom_site_label
_atom_site_type_symbol
_atom_site_fract_x
_atom_site_fract_y
_atom_site_fract_z
La1 La 0.000 0.000 0.000
Cr1 Cr 0.500 0.500 0.329
Cu1 Cu 0.000 0.000 0.518
Cu2 Cu 0.500 0.500 0.697
# Uncorrected energy in eV per atom: -5.394
# ΔE to the lowest computed polymorph in eV/atom: 0.1915
# Mass density in Mg/m³: 7.2


(3)
# LaCrCu2 GGA-PBE optimized geometry
data_LaCrCu2
_chemical_formula_sum 'La2 Cr2 Cu4'
_symmetry_space_group_name_H-M 'I -4 m 2'
_symmetry_Int_Tables_number 119
_symmetry_space_group_name_Hall 'I -4 -2'
_cell_length_a 4.277
_cell_length_b 4.277
_cell_length_c 8.109
_cell_angle_alpha 90.00
_cell_angle_beta 90.00
_cell_angle_gamma 90.00
loop_
_atom_site_label
_atom_site_type_symbol
_atom_site_fract_x
_atom_site_fract_y
_atom_site_fract_z
La1 La 0.000 0.000 0.000
Cr1 Cr 0.000 0.500 0.750
Cu1 Cu 0.000 0.000 0.500
Cu2 Cu 0.000 0.500 0.250
# Uncorrected energy in eV per atom: -5.372
# ΔE to the lowest computed polymorph in eV/atom: 0.2141
# Mass density in Mg/m³: 7.1


(4)
# La2CrCu GGA-PBE optimized geometry
data_La2CrCu
_chemical_formula_sum 'La2 Cr1 Cu1'
_symmetry_space_group_name_H-M 'P 1 m 1'
_symmetry_Int_Tables_number 6
_symmetry_space_group_name_Hall 'P -2y'
_cell_length_a 3.895
_cell_length_b 4.729
_cell_length_c 5.938
_cell_angle_alpha 90.00
_cell_angle_beta 108.78
_cell_angle_gamma 90.00
loop_
_atom_site_label
_atom_site_type_symbol
_atom_site_fract_x
_atom_site_fract_y
_atom_site_fract_z
La1 La 0.000 0.000 0.000
La2 La 0.284 0.500 0.576
Cr1 Cr 0.578 0.500 0.156
Cu1 Cu 0.703 0.000 0.413
# Uncorrected energy in eV per atom: -5.723
# ΔE to the lowest computed polymorph in eV/atom: 0.0000
# Mass density in Mg/m³: 6.3


(5)
# La2CrCu GGA-PBE optimized geometry
data_La2CrCu
_chemical_formula_sum 'La8 Cr4 Cu4'
_symmetry_space_group_name_H-M 'I -4 2 d'
_symmetry_Int_Tables_number 122
_symmetry_space_group_name_Hall 'I -4 2bw'
_cell_length_a 7.737
_cell_length_b 7.737
_cell_length_c 6.062
_cell_angle_alpha 90.00
_cell_angle_beta 90.00
_cell_angle_gamma 90.00
loop_
_atom_site_label
_atom_site_type_symbol
_atom_site_fract_x
_atom_site_fract_y
_atom_site_fract_z
La1 La 0.205 0.250 0.125
Cr1 Cr 0.000 0.000 0.000
Cu1 Cu 0.000 0.000 0.500
# Uncorrected energy in eV per atom: -5.235
# ΔE to the lowest computed polymorph in eV/atom: 0.4879
# Mass density in Mg/m³: 7.2


(6)
# La2CrCu2 GGA-PBE optimized geometry
data_La2CrCu2
_chemical_formula_sum 'La4 Cr2 Cu4'
_symmetry_space_group_name_H-M 'P 4/m b m'
_symmetry_Int_Tables_number 127
_symmetry_space_group_name_Hall '-P 4 2ab'
_cell_length_a 7.066
_cell_length_b 7.066
_cell_length_c 4.368
_cell_angle_alpha 90.00
_cell_angle_beta 90.00
_cell_angle_gamma 90.00
loop_
_atom_site_label
_atom_site_type_symbol
_atom_site_fract_x
_atom_site_fract_y
_atom_site_fract_z
La1 La 0.190 0.310 0.000
Cr1 Cr 0.000 0.000 0.500
Cu1 Cu 0.124 0.624 0.500
# Uncorrected energy in eV per atom: -5.169
# Mass density in Mg/m³: 7.0


(7)
# La2CrCu GGA-PBE optimized geometry
data_La2CrCu
_chemical_formula_sum 'La8 Cr4 Cu4'
_symmetry_space_group_name_H-M 'F -4 3 m'
_symmetry_Int_Tables_number 216
_symmetry_space_group_name_Hall 'F -4 2 3'
_cell_length_a 7.163
_cell_length_b 7.163
_cell_length_c 7.163
_cell_angle_alpha 90.00
_cell_angle_beta 90.00
_cell_angle_gamma 90.00
loop_
_atom_site_label
_atom_site_type_symbol
_atom_site_fract_x
_atom_site_fract_y
_atom_site_fract_z
La1 La 0.000 0.000 0.000
La2 La 0.250 0.250 0.250
Cr1 Cr 0.000 0.000 0.500
Cu1 Cu 0.250 0.250 0.750
# Uncorrected energy in eV per atom: -5.611
# ΔE to the lowest computed polymorph in eV/atom: 0.1126
# Mass density in Mg/m³: 7.1


(8)
# LaCrCu3 GGA-PBE optimized geometry
data_LaCrCu3
_chemical_formula_sum 'La1 Cr1 Cu3'
_symmetry_space_group_name_H-M 'P m -3 m'
_symmetry_Int_Tables_number 221
_symmetry_space_group_name_Hall '-P 4 2 3'
_cell_length_a 4.669
_cell_length_b 4.669
_cell_length_c 4.669
_cell_angle_alpha 90.00
_cell_angle_beta 90.00
_cell_angle_gamma 90.00
loop_
_atom_site_label
_atom_site_type_symbol
_atom_site_fract_x
_atom_site_fract_y
_atom_site_fract_z
La1 La 0.000 0.000 0.000
Cr1 Cr 0.500 0.500 0.500
Cu1 Cu 0.000 0.500 0.500
# Uncorrected energy in eV per atom: -4.944
# ΔE to the lowest computed polymorph in eV/atom: 0.0000
# Mass density in Mg/m³: 6.2


(9)
# La4CrCu GGA-PBE optimized geometry
data_La4CrCu
_chemical_formula_sum 'La16 Cr4 Cu4'
_symmetry_space_group_name_H-M 'F -4 3 m'
_symmetry_Int_Tables_number 216
_symmetry_space_group_name_Hall 'F -4 2 3'
_cell_length_a 9.061
_cell_length_b 9.061
_cell_length_c 9.061
_cell_angle_alpha 90.00
_cell_angle_beta 90.00
_cell_angle_gamma 90.00
loop_
_atom_site_label
_atom_site_type_symbol
_atom_site_fract_x
_atom_site_fract_y
_atom_site_fract_z
La1 La 0.125 0.125 0.125
Cr1 Cr 0.250 0.250 0.750
Cu1 Cu 0.000 0.000 0.500
# Uncorrected energy in eV per atom: -4.787
# Mass density in Mg/m³: 6.0


(10)
# LaCrCu2 GGA-PBE optimized geometry
data_LaCrCu2
_chemical_formula_sum 'La2 Cr2 Cu4'
_symmetry_space_group_name_H-M 'C 1 m 1'
_symmetry_Int_Tables_number 8
_symmetry_space_group_name_Hall 'C -2y'
_cell_length_a 7.436
_cell_length_b 4.297
_cell_length_c 5.548
_cell_angle_alpha 90.00
_cell_angle_beta 116.68
_cell_angle_gamma 90.00
loop_
_atom_site_label
_atom_site_type_symbol
_atom_site_fract_x
_atom_site_fract_y
_atom_site_fract_z
La1 La 0.000 0.000 0.000
Cr1 Cr 0.199 0.000 0.598
Cu1 Cu 0.301 0.500 0.402
Cu2 Cu 0.496 0.000 0.487
# Uncorrected energy in eV per atom: -5.535
# ΔE to the lowest computed polymorph in eV/atom: 0.0506
# Mass density in Mg/m³: 6.7


(11)
# La2CrCu GGA-PBE optimized geometry
data_La2CrCu
_chemical_formula_sum 'La6 Cr3 Cu3'
_symmetry_space_group_name_H-M 'R -3 m'
_symmetry_Int_Tables_number 166
_symmetry_space_group_name_Hall '-R 3 2"'
_cell_length_a 3.8296
_cell_length_b 3.8296
_cell_length_c 25.4860
_cell_angle_alpha 90.00
_cell_angle_beta 90.00
_cell_angle_gamma 120.00
loop_
_atom_site_label
_atom_site_type_symbol
_atom_site_fract_x
_atom_site_fract_y
_atom_site_fract_z
La1 La 0.0000 0.0000 0.2481
Cr1 Cr 0.0000 0.0000 0.0000
Cu1 Cu 0.0000 0.0000 0.5000
# Uncorrected energy in eV per atom: -5.505
# ΔE to the lowest computed polymorph in eV/atom: 0.2181
# Mass density in Mg/m³: 6.1


(12)
# LaCrCu GGA-PBE optimized geometry
data_LaCrCu
_chemical_formula_sum 'La2 Cr2 Cu2'
_symmetry_space_group_name_H-M 'I 4 m m'
_symmetry_Int_Tables_number 107
_symmetry_space_group_name_Hall 'I 4 -2'
_cell_length_a 3.462
_cell_length_b 3.462
_cell_length_c 10.502
_cell_angle_alpha 90.00
_cell_angle_beta 90.00
_cell_angle_gamma 90.00
loop_
_atom_site_label
_atom_site_type_symbol
_atom_site_fract_x
_atom_site_fract_y
_atom_site_fract_z
La1 La 0.000 0.000 0.000
Cr1 Cr 0.000 0.000 0.294
Cu1 Cu 0.000 0.000 0.698
# Uncorrected energy in eV per atom: -5.875
# ΔE to the lowest computed polymorph in eV/atom: 0.0824
# Mass density in Mg/m³: 6.7


- Number 1 is which compound?
  LaCrCu3